{"formula": "Ni3BrF", "functional": "PBE with a Hubbard U", "state": "relaxed", "cell": [[4.7585, 0.0000, 0.0000], [0.0000, 4.7585, 0.0000], [0.0000, 0.0000, 4.7585]], "species": ["Ni", "Ni", "Ni", "Br", "F"], "frac_coords": [[0.0000, 0.0000, 0.5000], [0.0000, 0.5000, 0.0000], [0.5000, 0.0000, 0.0000], [0.0000, 0.0000, 0.0000], [0.5000, 0.5000, 0.5000]], "polymorph_energy_kj_per_mol_atoms": 54.1}